Record 1
{
  "formula": "La3TbPm4",
  "functional": "PBE-GGA",
  "state": "relaxed",
  "e_form_ev_per_atom": 0.01,
  "de_polymorph_mev_per_atom": 0,
  "cell": [[7.347, 0.000, 0.000], [0.000, 10.416, 0.000], [0.000, 0.000, 7.318]],
  "species": ["La", "La", "La", "La", "La", "La", "Tb", "Tb", "Pm", "Pm", "Pm", "Pm", "Pm", "Pm", "Pm", "Pm"],
  "fractional_positions": [[0.000, 0.000, 0.000], [0.000, 0.500, 0.000], [0.250, 0.250, 0.254], [0.500, 0.000, 0.000], [0.500, 0.500, 0.000], [0.750, 0.750, 0.746], [0.250, 0.250, 0.748], [0.750, 0.750, 0.252], [0.000, 0.000, 0.500], [0.000, 0.500, 0.500], [0.250, 0.750, 0.253], [0.250, 0.750, 0.747], [0.500, 0.000, 0.500], [0.500, 0.500, 0.500], [0.750, 0.250, 0.253], [0.750, 0.250, 0.747]]
}

---

Record 2
{
  "formula": "Er6BiAs3S2",
  "functional": "PBE-GGA",
  "state": "relaxed",
  "formation_energy_uncorrected_ev_per_atom": -1.524,
  "cell": [[8.875, -2.042, 0.000], [8.875, 2.042, 0.000], [-1.871, 0.000, 7.968]],
  "species": ["Er", "Er", "Er", "Er", "Er", "Er", "Bi", "As", "As", "As", "S", "S"],
  "fractional_positions": [[0.003, 0.003, 0.270], [0.325, 0.325, 0.913], [0.332, 0.332, 0.415], [0.668, 0.668, 0.585], [0.675, 0.675, 0.087], [0.997, 0.997, 0.730], [0.500, 0.500, 0.000], [0.164, 0.164, 0.830], [0.500, 0.500, 0.500], [0.836, 0.836, 0.170], [0.170, 0.170, 0.338], [0.830, 0.830, 0.662]]
}

---

Record 3
{
  "formula": "PuMn5C2",
  "functional": "PBE-GGA",
  "state": "relaxed",
  "e_form_ev_per_atom": 0.10,
  "cell": [[-1.645, 3.223, 4.160], [1.645, -3.223, 4.160], [1.645, 3.223, -4.160]],
  "species": ["Pu", "Mn", "Mn", "Mn", "Mn", "Mn", "C", "C"],
  "fractional_positions": [[0.000, 0.000, 0.000], [0.153, 0.339, 0.813], [0.474, 0.661, 0.813], [0.500, 0.000, 0.500], [0.526, 0.339, 0.187], [0.847, 0.661, 0.187], [0.253, 0.753, 0.500], [0.747, 0.247, 0.500]]
}

---

Record 4
{
  "formula": "PdPb2Se",
  "functional": "PBE-GGA",
  "state": "relaxed",
  "formation_energy_uncorrected_ev_per_atom": -0.103,
  "cell": [[-3.309, 3.309, 6.170], [3.309, -3.309, 6.170], [3.309, 3.309, -6.170]],
  "species": ["Pd", "Pd", "Pb", "Pb", "Pb", "Pb", "Se", "Se"],
  "fractional_positions": [[0.000, 0.000, 0.000], [0.750, 0.250, 0.500], [0.097, 0.625, 0.972], [0.375, 0.347, 0.472], [0.653, 0.125, 0.028], [0.875, 0.903, 0.528], [0.250, 0.750, 0.500], [0.500, 0.500, 0.000]]
}